! Tl2Co3AgF12, optimized geometry, DFT PBE with a Hubbard U; values from VASP
! Calculated volume in Å³/atom: 15.6
! Raw total energy in eV/atom: -4.3806
&SYSTEM
  ibrav = 0, nat = 18, ntyp = 4
/
ATOMIC_SPECIES
Co 58.93 Co.upf
F 19.00 F.upf
Tl 204.38 Tl.upf
Ag 107.87 Ag.upf
CELL_PARAMETERS angstrom
7.193 -0.163 -0.115
3.411 6.335 -0.115
3.411 1.985 6.017
ATOMIC_POSITIONS crystal
Co 0.000 0.500 0.000
Co 0.500 0.000 0.000
Co 0.000 0.000 0.500
F 0.116 0.116 0.590
F 0.410 0.884 0.884
F 0.710 0.100 0.710
F 0.900 0.290 0.290
F 0.100 0.710 0.710
F 0.884 0.410 0.884
F 0.884 0.884 0.410
F 0.116 0.590 0.116
F 0.290 0.290 0.900
F 0.590 0.116 0.116
F 0.290 0.900 0.290
F 0.710 0.710 0.100
Tl 0.383 0.383 0.383
Tl 0.617 0.617 0.617
Ag 0.000 0.000 0.000